# PBE-GGA AcAlZnIn2, relaxed
# Formation enthalpy at 0 K = -0.289 eV/atom
data_AcAlZnIn2
_symmetry_space_group_name_H-M 'I -4 m 2'
_symmetry_Int_Tables_number 119
_symmetry_space_group_name_Hall 'I -4 -2'
_cell_length_a 4.729
_cell_length_b 4.729
_cell_length_c 11.322
_cell_angle_alpha 90.00
_cell_angle_beta 90.00
_cell_angle_gamma 90.00
loop_
_atom_site_label
_atom_site_type_symbol
_atom_site_fract_x
_atom_site_fract_y
_atom_site_fract_z
_atom_site_occupancy
Ac1 Ac 0.000 0.000 0.000 1
Al1 Al 0.000 0.500 0.250 1
Zn1 Zn 0.000 0.500 0.750 1
In1 In 0.000 0.000 0.375 1

=====

# PBE-GGA NpTlHgSe3, relaxed
# Formation energy without anion corrections = -0.632 eV per atom
data_NpTlHgSe3
_symmetry_space_group_name_H-M 'P 1 21/m 1'
_symmetry_Int_Tables_number 11
_cell_length_a 9.044
_cell_length_b 4.151
_cell_length_c 9.650
_cell_angle_alpha 90.00
_cell_angle_beta 101.61
_cell_angle_gamma 90.00
loop_
_symmetry_equiv_pos_as_xyz
'x,y,z'
'-x,-y,-z'
'-x,y+1/2,-z'
'x,-y+1/2,z'
loop_
_atom_site_label
_atom_site_type_symbol
_atom_site_fract_x
_atom_site_fract_y
_atom_site_fract_z
_atom_site_occupancy
Np1 Np 0.155 0.250 0.156 1
Tl1 Tl 0.326 0.750 0.794 1
Hg1 Hg 0.384 0.750 0.453 1
Se1 Se 0.063 0.250 0.855 1
Se2 Se 0.174 0.250 0.444 1
Se3 Se 0.367 0.750 0.140 1

=====

# PBE-GGA TaMn2In, relaxed
# Formation enthalpy at 0 K = 0.170 eV/atom
data_TaMn2In
_symmetry_space_group_name_H-M 'P 4 m m'
_symmetry_Int_Tables_number 99
_cell_length_a 2.862
_cell_length_b 2.862
_cell_length_c 7.450
_cell_angle_alpha 90.00
_cell_angle_beta 90.00
_cell_angle_gamma 90.00
loop_
_symmetry_equiv_pos_as_xyz
'x,y,z'
'-y,x,z'
'-x,-y,z'
'y,-x,z'
'-x,y,z'
'y,x,z'
'x,-y,z'
'-y,-x,z'
loop_
_atom_site_label
_atom_site_type_symbol
_atom_site_fract_x
_atom_site_fract_y
_atom_site_fract_z
_atom_site_occupancy
Ta1 Ta 0.000 0.000 0.000 1
Mn1 Mn 0.000 0.000 0.588 1
Mn2 Mn 0.500 0.500 0.753 1
In1 In 0.500 0.500 0.319 1

=====

# PBE-GGA TmLuAlAg, relaxed
# Formation enthalpy at 0 K = -0.353 eV/atom
data_TmLuAlAg
_symmetry_space_group_name_H-M 'F -4 3 m'
_symmetry_Int_Tables_number 216
_symmetry_space_group_name_Hall 'F -4 2 3'
_cell_length_a 7.160
_cell_length_b 7.160
_cell_length_c 7.160
_cell_angle_alpha 90.00
_cell_angle_beta 90.00
_cell_angle_gamma 90.00
loop_
_atom_site_label
_atom_site_type_symbol
_atom_site_fract_x
_atom_site_fract_y
_atom_site_fract_z
_atom_site_occupancy
Tm1 Tm 0.000 0.000 0.000 1
Lu1 Lu 0.000 0.000 0.500 1
Al1 Al 0.250 0.250 0.750 1
Ag1 Ag 0.250 0.250 0.250 1